1.
Crystalline SrHoNO at its relaxed geometry, computed with PBE.

Structure (CIF):
```
data_SrHoNO
_space_group_name_H-M_alt 'P 4/n m m'
_space_group_IT_number 129
_cell_length_a 4.145
_cell_length_b 4.145
_cell_length_c 8.229
_cell_angle_alpha 90.00
_cell_angle_beta 90.00
_cell_angle_gamma 90.00
loop_
_space_group_symop_operation_xyz
'x,y,z'
'-x,-y,-z'
'-y+1/2,x,z'
'y+1/2,-x,-z'
'-x+1/2,-y+1/2,z'
'x+1/2,y+1/2,-z'
'y,-x+1/2,z'
'-y,x+1/2,-z'
'x+1/2,-y,-z'
'-x+1/2,y,z'
'-y,-x,-z'
'y,x,z'
'-x,y+1/2,-z'
'x,-y+1/2,z'
'y+1/2,x+1/2,-z'
'-y+1/2,-x+1/2,z'
loop_
_atom_site_label
_atom_site_type_symbol
_atom_site_fract_x
_atom_site_fract_y
_atom_site_fract_z
_atom_site_occupancy
Sr1 Sr 0.250 0.750 0.000 1
Ho1 Ho 0.250 0.250 0.393 1
N1 N 0.250 0.250 0.829 1
O1 O 0.250 0.750 0.500 1
```

Output
Raw total energy ... -49.73 eV per cell

---

2.
Crystalline SrHoNO at its relaxed geometry, computed with PBE.

Structure (CIF):
```
data_SrHoNO
_space_group_name_H-M_alt 'P c a 21'
_space_group_IT_number 29
_cell_length_a 7.083
_cell_length_b 8.265
_cell_length_c 5.018
_cell_angle_alpha 90.00
_cell_angle_beta 90.00
_cell_angle_gamma 90.00
loop_
_space_group_symop_operation_xyz
'x,y,z'
'-x,-y,z+1/2'
'-x+1/2,y,z+1/2'
'x+1/2,-y,z'
loop_
_atom_site_label
_atom_site_type_symbol
_atom_site_fract_x
_atom_site_fract_y
_atom_site_fract_z
_atom_site_occupancy
Sr1 Sr 0.083 0.132 0.000 1
Ho1 Ho 0.087 0.616 0.994 1
N1 N 0.094 0.609 0.520 1
O1 O 0.065 0.143 0.504 1
```

Output
Raw total energy ... -112.22 eV per cell

---

3.
Crystalline SrHoNO at its relaxed geometry, computed with PBE.

Structure (CIF):
```
data_SrHoNO
_space_group_name_H-M_alt 'P 4/m m m'
_space_group_IT_number 123
_space_group_name_Hall '-P 4 2'
_cell_length_a 3.500
_cell_length_b 3.500
_cell_length_c 5.104
_cell_angle_alpha 90.00
_cell_angle_beta 90.00
_cell_angle_gamma 90.00
loop_
_atom_site_label
_atom_site_type_symbol
_atom_site_fract_x
_atom_site_fract_y
_atom_site_fract_z
_atom_site_occupancy
Sr1 Sr 0.000 0.000 0.000 1
Ho1 Ho 0.500 0.500 0.500 1
N1 N 0.000 0.000 0.500 1
O1 O 0.500 0.500 0.000 1
```

Output
Raw total energy ... -27.79 eV per cell

---

4.
Crystalline SrHoNO at its relaxed geometry, computed with PBE.

Structure (CIF):
```
data_SrHoNO
_space_group_name_H-M_alt 'P c a 21'
_space_group_IT_number 29
_cell_length_a 6.757
_cell_length_b 8.142
_cell_length_c 5.684
_cell_angle_alpha 90.00
_cell_angle_beta 90.00
_cell_angle_gamma 90.00
loop_
_space_group_symop_operation_xyz
'x,y,z'
'-x,-y,z+1/2'
'-x+1/2,y,z+1/2'
'x+1/2,-y,z'
loop_
_atom_site_label
_atom_site_type_symbol
_atom_site_fract_x
_atom_site_fract_y
_atom_site_fract_z
_atom_site_occupancy
Sr1 Sr 0.082 0.126 0.000 1
Ho1 Ho 0.085 0.615 0.976 1
N1 N 0.050 0.160 0.548 1
O1 O 0.100 0.596 0.590 1
```

Output
Raw total energy ... -109.33 eV per cell

---

5.
Crystalline SrHoNO at its relaxed geometry, computed with PBE.

Structure (CIF):
```
data_SrHoNO
_space_group_name_H-M_alt 'P m c 21'
_space_group_IT_number 26
_cell_length_a 3.848
_cell_length_b 7.014
_cell_length_c 5.773
_cell_angle_alpha 90.00
_cell_angle_beta 90.00
_cell_angle_gamma 90.00
loop_
_space_group_symop_operation_xyz
'x,y,z'
'-x,-y,z+1/2'
'-x,y,z'
'x,-y,z+1/2'
loop_
_atom_site_label
_atom_site_type_symbol
_atom_site_fract_x
_atom_site_fract_y
_atom_site_fract_z
_atom_site_occupancy
Sr1 Sr 0.000 0.163 0.000 1
Ho1 Ho 0.500 0.341 0.517 1
N1 N 0.000 0.193 0.442 1
O1 O 0.500 0.363 0.895 1
```

Output
Raw total energy ... -55.48 eV per cell

---

6.
Crystalline SrHoNO at its relaxed geometry, computed with PBE.

Structure (CIF):
```
data_SrHoNO
_space_group_name_H-M_alt 'P 4/n m m'
_space_group_IT_number 129
_cell_length_a 4.949
_cell_length_b 4.949
_cell_length_c 5.103
_cell_angle_alpha 90.00
_cell_angle_beta 90.00
_cell_angle_gamma 90.00
loop_
_space_group_symop_operation_xyz
'x,y,z'
'-x,-y,-z'
'-y+1/2,x,z'
'y+1/2,-x,-z'
'-x+1/2,-y+1/2,z'
'x+1/2,y+1/2,-z'
'y,-x+1/2,z'
'-y,x+1/2,-z'
'x+1/2,-y,-z'
'-x+1/2,y,z'
'-y,-x,-z'
'y,x,z'
'-x,y+1/2,-z'
'x,-y+1/2,z'
'y+1/2,x+1/2,-z'
'-y+1/2,-x+1/2,z'
loop_
_atom_site_label
_atom_site_type_symbol
_atom_site_fract_x
_atom_site_fract_y
_atom_site_fract_z
_atom_site_occupancy
Sr1 Sr 0.250 0.250 0.001 1
Ho1 Ho 0.250 0.750 0.500 1
N1 N 0.250 0.250 0.502 1
O1 O 0.250 0.750 0.000 1
```

Output
Raw total energy ... -55.58 eV per cell

---

7.
Crystalline TbHoNO at its relaxed geometry, computed with PBE.

Structure (CIF):
```
data_TbHoNO
_space_group_name_H-M_alt 'P 4/n m m'
_space_group_IT_number 129
_cell_length_a 4.264
_cell_length_b 4.264
_cell_length_c 7.767
_cell_angle_alpha 90.00
_cell_angle_beta 90.00
_cell_angle_gamma 90.00
loop_
_space_group_symop_operation_xyz
'x,y,z'
'-x,-y,-z'
'-y+1/2,x,z'
'y+1/2,-x,-z'
'-x+1/2,-y+1/2,z'
'x+1/2,y+1/2,-z'
'y,-x+1/2,z'
'-y,x+1/2,-z'
'x+1/2,-y,-z'
'-x+1/2,y,z'
'-y,-x,-z'
'y,x,z'
'-x,y+1/2,-z'
'x,-y+1/2,z'
'y+1/2,x+1/2,-z'
'-y+1/2,-x+1/2,z'
loop_
_atom_site_label
_atom_site_type_symbol
_atom_site_fract_x
_atom_site_fract_y
_atom_site_fract_z
_atom_site_occupancy
Tb1 Tb 0.250 0.750 0.000 1
Ho1 Ho 0.250 0.250 0.400 1
N1 N 0.250 0.250 0.872 1
O1 O 0.250 0.750 0.500 1
```

Output
Raw total energy ... -58.83 eV per cell

---

8.
Crystalline TbHoNO at its relaxed geometry, computed with PBE.

Structure (CIF):
```
data_TbHoNO
_space_group_name_H-M_alt 'P m c 21'
_space_group_IT_number 26
_cell_length_a 3.938
_cell_length_b 6.933
_cell_length_c 4.864
_cell_angle_alpha 90.00
_cell_angle_beta 90.00
_cell_angle_gamma 90.00
loop_
_space_group_symop_operation_xyz
'x,y,z'
'-x,-y,z+1/2'
'-x,y,z'
'x,-y,z+1/2'
loop_
_atom_site_label
_atom_site_type_symbol
_atom_site_fract_x
_atom_site_fract_y
_atom_site_fract_z
_atom_site_occupancy
Tb1 Tb 0.000 0.165 0.000 1
Ho1 Ho 0.500 0.334 0.500 1
N1 N 0.000 0.167 0.499 1
O1 O 0.500 0.334 0.000 1
```

Output
Raw total energy ... -62.72 eV per cell

---

9.
Crystalline TbHoNO at its relaxed geometry, computed with PBE.

Structure (CIF):
```
data_TbHoNO
_space_group_name_H-M_alt 'P m m a'
_space_group_IT_number 51
_cell_length_a 4.858
_cell_length_b 3.969
_cell_length_c 6.871
_cell_angle_alpha 90.00
_cell_angle_beta 90.00
_cell_angle_gamma 90.00
loop_
_space_group_symop_operation_xyz
'x,y,z'
'-x,-y,-z'
'-x+1/2,-y,z'
'x+1/2,y,-z'
'x+1/2,-y,-z'
'-x+1/2,y,z'
'-x,y,-z'
'x,-y,z'
loop_
_atom_site_label
_atom_site_type_symbol
_atom_site_fract_x
_atom_site_fract_y
_atom_site_fract_z
_atom_site_occupancy
Tb1 Tb 0.250 0.000 0.165 1
Ho1 Ho 0.250 0.500 0.667 1
N1 N 0.250 0.500 0.338 1
O1 O 0.250 0.000 0.820 1
```

Output
Raw total energy ... -62.84 eV per cell

---

10.
Crystalline TbHoNO at its relaxed geometry, computed with PBE.

Structure (CIF):
```
data_TbHoNO
_space_group_name_H-M_alt 'P 4/n m m'
_space_group_IT_number 129
_cell_length_a 4.392
_cell_length_b 4.392
_cell_length_c 7.866
_cell_angle_alpha 90.00
_cell_angle_beta 90.00
_cell_angle_gamma 90.00
loop_
_space_group_symop_operation_xyz
'x,y,z'
'-x,-y,-z'
'-y+1/2,x,z'
'y+1/2,-x,-z'
'-x+1/2,-y+1/2,z'
'x+1/2,y+1/2,-z'
'y,-x+1/2,z'
'-y,x+1/2,-z'
'x+1/2,-y,-z'
'-x+1/2,y,z'
'-y,-x,-z'
'y,x,z'
'-x,y+1/2,-z'
'x,-y+1/2,z'
'y+1/2,x+1/2,-z'
'-y+1/2,-x+1/2,z'
loop_
_atom_site_label
_atom_site_type_symbol
_atom_site_fract_x
_atom_site_fract_y
_atom_site_fract_z
_atom_site_occupancy
Tb1 Tb 0.250 0.250 0.093 1
Ho1 Ho 0.250 0.750 0.500 1
N1 N 0.250 0.250 0.580 1
O1 O 0.250 0.750 0.000 1
```

Output
Raw total energy ... -59.45 eV per cell

---

11.
Crystalline TbHoNO at its relaxed geometry, computed with PBE.

Structure (CIF):
```
data_TbHoNO
_space_group_name_H-M_alt 'P c a 21'
_space_group_IT_number 29
_cell_length_a 6.608
_cell_length_b 8.050
_cell_length_c 4.914
_cell_angle_alpha 90.00
_cell_angle_beta 90.00
_cell_angle_gamma 90.00
loop_
_space_group_symop_operation_xyz
'x,y,z'
'-x,-y,z+1/2'
'-x+1/2,y,z+1/2'
'x+1/2,-y,z'
loop_
_atom_site_label
_atom_site_type_symbol
_atom_site_fract_x
_atom_site_fract_y
_atom_site_fract_z
_atom_site_occupancy
Tb1 Tb 0.069 0.123 0.000 1
Ho1 Ho 0.083 0.626 0.000 1
N1 N 0.072 0.623 0.499 1
O1 O 0.092 0.135 0.500 1
```

Output
Raw total energy ... -125.37 eV per cell